1.
# LaPmErTl | the Alexandria database | PBE | optimized geometry
data_LaPmErTl
_chemical_formula_sum 'La4 Pm4 Er4 Tl4'
_cell_length_a 7.9048
_cell_length_b 7.9048
_cell_length_c 7.9048
_cell_angle_alpha 90.00
_cell_angle_beta 90.00
_cell_angle_gamma 90.00
_symmetry_space_group_name_H-M 'F -4 3 m'
_symmetry_Int_Tables_number 216
_symmetry_space_group_name_Hall 'F -4 2 3'
loop_
_atom_site_label
_atom_site_fract_x
_atom_site_fract_y
_atom_site_fract_z
La1 0.0000 0.0000 0.0000
Pm1 0.2500 0.2500 0.7500
Er1 0.0000 0.0000 0.5000
Tl1 0.2500 0.2500 0.2500
# magnetization: 5.4 μB/cell
# final energy: -4.194 eV/atom
# formation enthalpy at 0 K: -0.2 eV/f.u.
# DOS at the Fermi energy: 21.91 states/eV per cell

=====

2.
# PRhCl2 | the Alexandria database | PBE | optimized geometry
data_PRhCl2
_chemical_formula_sum 'P1 Rh1 Cl2'
_cell_length_a 3.0194
_cell_length_b 3.0194
_cell_length_c 8.6936
_cell_angle_alpha 90.00
_cell_angle_beta 90.00
_cell_angle_gamma 90.00
_symmetry_space_group_name_H-M 'P 4/m m m'
_symmetry_Int_Tables_number 123
_symmetry_space_group_name_Hall '-P 4 2'
loop_
_atom_site_label
_atom_site_fract_x
_atom_site_fract_y
_atom_site_fract_z
P1 0.0000 0.0000 0.0000
Rh1 0.0000 0.0000 0.5000
Cl1 0.5000 0.5000 0.3131
# magnetization: 1.8 μB/cell
# final energy: -3.406 eV/atom
# DOS at the Fermi energy: 2.90 states/eV per cell
# uncorrected formation energy: 0.708 eV/atom

=====

3.
# Pm2NpNbN6 | the Alexandria database | PBE | optimized geometry
data_Pm2NpNbN6
_chemical_formula_sum 'Pm4 Np2 Nb2 N12'
_cell_length_a 5.7569
_cell_length_b 5.8328
_cell_length_c 9.9510
_cell_angle_alpha 90.00
_cell_angle_beta 125.06
_cell_angle_gamma 90.00
_symmetry_space_group_name_H-M 'P 1 21/c 1'
_symmetry_Int_Tables_number 14
_symmetry_space_group_name_Hall '-P 2ybc'
loop_
_atom_site_label
_atom_site_fract_x
_atom_site_fract_y
_atom_site_fract_z
Pm1 0.2378 0.0444 0.2489
Np1 0.5000 0.0000 0.0000
Nb1 0.0000 0.0000 0.5000
N1 0.1623 0.2048 0.9497
N2 0.2336 0.7088 0.9468
N3 0.3467 0.0264 0.7504
# magnetization: 0.0 μB/cell
# final energy: -9.367 eV/atom
# uncorrected formation energy: -1.121 eV/atom

=====

4.
# ScAs2Se | the Alexandria database | PBE | optimized geometry
data_ScAs2Se
_chemical_formula_sum 'Sc2 As4 Se2'
_cell_length_a 3.9913
_cell_length_b 3.9913
_cell_length_c 9.9274
_cell_angle_alpha 90.00
_cell_angle_beta 90.00
_cell_angle_gamma 90.00
_symmetry_space_group_name_H-M 'I -4 m 2'
_symmetry_Int_Tables_number 119
_symmetry_space_group_name_Hall 'I -4 -2'
loop_
_atom_site_label
_atom_site_fract_x
_atom_site_fract_y
_atom_site_fract_z
Sc1 0.0000 0.0000 0.0000
As1 0.0000 0.0000 0.5000
As2 0.0000 0.5000 0.2500
Se1 0.0000 0.5000 0.7500
# magnetization: 0.0 μB/cell
# final energy: -5.160 eV/atom
# DOS at the Fermi energy: 4.62 states/eV per cell
# uncorrected formation energy: -0.381 eV/atom

=====

Repeat the fourth record exactly.
# ScAs2Se | the Alexandria database | PBE | optimized geometry
data_ScAs2Se
_chemical_formula_sum 'Sc2 As4 Se2'
_cell_length_a 3.9913
_cell_length_b 3.9913
_cell_length_c 9.9274
_cell_angle_alpha 90.00
_cell_angle_beta 90.00
_cell_angle_gamma 90.00
_symmetry_space_group_name_H-M 'I -4 m 2'
_symmetry_Int_Tables_number 119
_symmetry_space_group_name_Hall 'I -4 -2'
loop_
_atom_site_label
_atom_site_fract_x
_atom_site_fract_y
_atom_site_fract_z
Sc1 0.0000 0.0000 0.0000
As1 0.0000 0.0000 0.5000
As2 0.0000 0.5000 0.2500
Se1 0.0000 0.5000 0.7500
# magnetization: 0.0 μB/cell
# final energy: -5.160 eV/atom
# DOS at the Fermi energy: 4.62 states/eV per cell
# uncorrected formation energy: -0.381 eV/atom

=====

magnetization of number 3 (Pm2NpNbN6)? 0.0 μB/cell